## NiPdN2F (PBE with a Hubbard U)

Data for a relaxed NiPdN2F crystal.

Properties
- total DFT energy (no corrections) (eV per atom) = -4.248
- SG = P4/mmm, No. 123
- crystal system = tetragonal
- polymorph energy (0 for the lowest one) (eV per atom) = 0.0000

Cell: 3.797 3.797 3.754 Å, 90.00 90.00 90.00°
Fractional positions:
Ni  0.000  0.000  0.000
Pd  0.500  0.500  0.500
N  0.000  0.500  0.000
N  0.500  0.000  0.000
F  0.000  0.000  0.500